{"formula": "AlFe2Co2", "functional": "PBE-GGA", "state": "relaxed", "cell": [[6.6658, 0.0000, 0.0000], [0.0000, 6.6658, 0.0000], [0.0000, 0.0000, 2.7643]], "species": ["Al", "Al", "Fe", "Fe", "Fe", "Fe", "Co", "Co", "Co", "Co"], "frac_coords": [[0.0000, 0.0000, 0.0000], [0.5000, 0.5000, 0.0000], [0.1632, 0.3368, 0.5000], [0.3368, 0.8368, 0.5000], [0.6632, 0.1632, 0.5000], [0.8368, 0.6632, 0.5000], [0.1332, 0.6332, 0.0000], [0.3668, 0.1332, 0.0000], [0.6332, 0.8668, 0.0000], [0.8668, 0.3668, 0.0000]], "ef_kj_per_mol_atoms": 1.1, "dft_energy_ha_per_atom": -0.256, "spacegroup": "P4/mbm, No. 127"}

***

{"formula": "Al2FeCo", "functional": "PBE-GGA", "state": "relaxed", "cell": [[1.3499, 0.7794, 8.0149], [-1.3499, 0.7794, 8.0149], [0.0000, -1.5588, 8.0149]], "species": ["Al", "Al", "Fe", "Co"], "frac_coords": [[0.2471, 0.2471, 0.2471], [0.7529, 0.7529, 0.7529], [0.0000, 0.0000, 0.0000], [0.5000, 0.5000, 0.5000]], "ef_kj_per_mol_atoms": -19.8, "dft_energy_ha_per_atom": -0.219, "spacegroup": "R-3m, No. 166"}

***

{"formula": "AlFeCo2", "functional": "PBE-GGA", "state": "relaxed", "cell": [[1.2958, 0.7481, 8.1265], [-1.2958, 0.7481, 8.1265], [0.0000, -1.4963, 8.1265]], "species": ["Al", "Fe", "Co", "Co"], "frac_coords": [[0.0000, 0.0000, 0.0000], [0.2478, 0.2478, 0.2478], [0.4975, 0.4975, 0.4975], [0.7510, 0.7510, 0.7510]], "ef_kj_per_mol_atoms": -3.4, "dft_energy_ha_per_atom": -0.244, "spacegroup": "R3m, No. 160"}

***

{"formula": "Al2FeCo", "functional": "PBE-GGA", "state": "relaxed", "cell": [[0.0000, 2.8578, 2.8578], [2.8578, 0.0000, 2.8578], [2.8578, 2.8578, 0.0000]], "species": ["Al", "Al", "Fe", "Co"], "frac_coords": [[0.2500, 0.2500, 0.2500], [0.7500, 0.7500, 0.7500], [0.0000, 0.0000, 0.0000], [0.5000, 0.5000, 0.5000]], "ef_kj_per_mol_atoms": -45.4, "dft_energy_ha_per_atom": -0.229, "spacegroup": "Fm-3m, No. 225"}

***

{"formula": "Al2Fe4Co", "functional": "PBE-GGA", "state": "relaxed", "cell": [[2.0161, 1.1640, 5.8443], [-2.0161, 1.1640, 5.8443], [0.0000, -2.3279, 5.8443]], "species": ["Al", "Al", "Fe", "Fe", "Fe", "Fe", "Co"], "frac_coords": [[0.2155, 0.2155, 0.2155], [0.7845, 0.7845, 0.7845], [0.0670, 0.0670, 0.0670], [0.3604, 0.3604, 0.3604], [0.6396, 0.6396, 0.6396], [0.9330, 0.9330, 0.9330], [0.5000, 0.5000, 0.5000]], "ef_kj_per_mol_atoms": -24.8, "dft_energy_ha_per_atom": -0.264, "spacegroup": "R-3m, No. 166"}

***

{"formula": "Al2FeCo", "functional": "PBE-GGA", "state": "relaxed", "cell": [[2.9938, 0.0000, 0.0000], [0.0000, 2.9938, 0.0000], [0.0000, 0.0000, 5.6855]], "species": ["Al", "Al", "Fe", "Co"], "frac_coords": [[0.0000, 0.0000, 0.0000], [0.5000, 0.5000, 0.3077], [0.5000, 0.5000, 0.7745], [0.0000, 0.0000, 0.5262]], "ef_kj_per_mol_atoms": -23.3, "dft_energy_ha_per_atom": -0.221, "spacegroup": "P4mm, No. 99"}

***

{"formula": "AlFe2Co3", "functional": "PBE-GGA", "state": "relaxed", "cell": [[2.0139, -6.0367, 0.0000], [2.0139, 6.0367, 0.0000], [0.0000, 0.0000, 2.8601]], "species": ["Al", "Fe", "Fe", "Co", "Co", "Co"], "frac_coords": [[0.0000, 0.0000, 0.0000], [0.3344, 0.6656, 0.0000], [0.6656, 0.3344, 0.0000], [0.1702, 0.8298, 0.5000], [0.5000, 0.5000, 0.5000], [0.8298, 0.1702, 0.5000]], "ef_kj_per_mol_atoms": -22.5, "dft_energy_ha_per_atom": -0.266, "spacegroup": "Cmmm, No. 65"}

***

{"formula": "AlFeCo2", "functional": "PBE-GGA", "state": "relaxed", "cell": [[-1.7716, 1.7716, 3.7175], [1.7716, -1.7716, 3.7175], [1.7716, 1.7716, -3.7175]], "species": ["Al", "Fe", "Co", "Co"], "frac_coords": [[0.0000, 0.0000, 0.0000], [0.7500, 0.2500, 0.5000], [0.2500, 0.7500, 0.5000], [0.5000, 0.5000, 0.0000]], "ef_kj_per_mol_atoms": -19.5, "dft_energy_ha_per_atom": -0.250, "spacegroup": "I-4m2, No. 119"}

***

{"formula": "Al5FeCo4", "functional": "PBE-GGA", "state": "relaxed", "cell": [[2.8532, 0.0000, 0.0000], [0.0000, 2.8532, 0.0000], [0.0000, 0.0000, 14.2847]], "species": ["Al", "Al", "Al", "Al", "Al", "Fe", "Co", "Co", "Co", "Co"], "frac_coords": [[0.0000, 0.0000, 0.0000], [0.0000, 0.0000, 0.2002], [0.0000, 0.0000, 0.4013], [0.0000, 0.0000, 0.5987], [0.0000, 0.0000, 0.7998], [0.5000, 0.5000, 0.5000], [0.5000, 0.5000, 0.0995], [0.5000, 0.5000, 0.2985], [0.5000, 0.5000, 0.7015], [0.5000, 0.5000, 0.9005]], "ef_kj_per_mol_atoms": -53.7, "dft_energy_ha_per_atom": -0.225, "spacegroup": "P4/mmm, No. 123"}

***

{"formula": "AlFe2Co2", "functional": "PBE-GGA", "state": "relaxed", "cell": [[4.0049, 0.0000, 0.0000], [-2.0017, 3.4751, 0.0000], [-1.9933, -1.1531, 4.1744]], "species": ["Al", "Fe", "Fe", "Co", "Co"], "frac_coords": [[0.0000, 0.0000, 0.0000], [0.4083, 0.2038, 0.6118], [0.5917, 0.7962, 0.3882], [0.1964, 0.5982, 0.7948], [0.8036, 0.4018, 0.2052]], "ef_kj_per_mol_atoms": -23.9, "dft_energy_ha_per_atom": -0.265, "spacegroup": "P-1, No. 2"}

***

{"formula": "Al2FeCo", "functional": "PBE-GGA", "state": "relaxed", "cell": [[4.5208, -1.3866, 0.0000], [4.5208, 1.3866, 0.0000], [-1.3713, 0.0000, 3.9189]], "species": ["Al", "Al", "Fe", "Co"], "frac_coords": [[0.0000, 0.0000, 0.0000], [0.2235, 0.2235, 0.6644], [0.7476, 0.7476, 0.1827], [0.4815, 0.4815, 0.4867]], "ef_kj_per_mol_atoms": -33.0, "dft_energy_ha_per_atom": -0.224, "spacegroup": "Cm, No. 8"}

***

{"formula": "Al3Fe3Co2", "functional": "PBE-GGA", "state": "relaxed", "cell": [[2.0098, 1.1604, 6.5976], [-2.0098, 1.1604, 6.5976], [0.0000, -2.3207, 6.5976]], "species": ["Al", "Al", "Al", "Fe", "Fe", "Fe", "Co", "Co"], "frac_coords": [[0.0000, 0.0000, 0.0000], [0.2491, 0.2491, 0.2491], [0.4988, 0.4988, 0.4988], [0.3754, 0.3754, 0.3754], [0.7496, 0.7496, 0.7496], [0.8724, 0.8724, 0.8724], [0.1240, 0.1240, 0.1240], [0.6250, 0.6250, 0.6250]], "ef_kj_per_mol_atoms": -33.5, "dft_energy_ha_per_atom": -0.246, "spacegroup": "R3m, No. 160"}